# CdTcBiB2

Crystalline CdTcBiB2 at its relaxed geometry (PBE-GGA, Alexandria).

Structure (extended XYZ):
```
5
Lattice="-1.039 -4.051 -0.276 3.869 -0.745 -3.633 2.708 -0.903 3.069" Properties=species:S:1:pos:R:3 pbc="T T T"
B 1.354 -0.452 1.535
B -0.519 -2.026 -0.138
Tc 0.000 0.000 0.000
Bi 2.769 -2.850 -0.420
Cd 1.935 -0.372 -1.816
```

Computed properties:
As for the space group: P4/mmm, No. 123. The raw total energy comes out at -4.6589 eV/atom. Its formation energy from the elements is 1044 meV per atom. Its size of the total moment is 0.00 μB/f.u. For the density of states at the Fermi level, the calculation gives 3.86 states/eV per cell.

---

# CdTcBi2B

Crystalline CdTcBi2B at its relaxed geometry (PBE-GGA, Alexandria).

Structure (extended XYZ):
```
5
Lattice="5.207 0.000 0.000 0.000 5.327 0.000 0.000 0.000 5.207" Properties=species:S:1:pos:R:3 pbc="T T T"
B 2.604 2.663 2.604
Tc 0.000 0.000 0.000
Bi 2.604 0.000 0.000
Bi 0.000 0.000 2.604
Cd 0.000 2.663 0.000
```

Computed properties:
As for the space group: P4/mmm, No. 123. The raw total energy comes out at -3.8044 eV/atom. Its formation energy from the elements is 1340 meV per atom. Its size of the total moment is 0.55 μB/f.u. For the density of states at the Fermi level, the calculation gives 4.17 states/eV per cell.

---

# CdBi2BTe

Crystalline CdBi2BTe at its relaxed geometry (PBE-GGA, Alexandria).

Structure (extended XYZ):
```
5
Lattice="5.130 0.000 0.000 0.000 4.936 0.000 0.000 0.000 5.130" Properties=species:S:1:pos:R:3 pbc="T T T"
Bi 2.565 0.000 0.000
Bi 0.000 0.000 2.565
Te 0.000 2.468 0.000
B 0.000 0.000 0.000
Cd 2.565 2.468 2.565
```

Computed properties:
As for the uncorrected formation energy: 660 meV/atom. As for the space group: P4/mmm, No. 123. The raw total energy comes out at -3.0397 eV/atom. Its size of the total moment is 0.00 μB/f.u. For the density of states at the Fermi level, the calculation gives 3.46 states/eV per cell.

---

# Tl2CdBiB

Crystalline Tl2CdBiB at its relaxed geometry (PBE-GGA, Alexandria).

Structure (extended XYZ):
```
5
Lattice="5.370 0.000 0.000 0.000 5.370 0.000 0.000 0.000 4.405" Properties=species:S:1:pos:R:3 pbc="T T T"
Tl 0.000 2.685 0.000
Tl 2.685 0.000 0.000
B 0.000 0.000 0.000
Cd 0.000 0.000 2.202
Bi 2.685 2.685 2.202
```

Computed properties:
As for the space group: P4/mmm, No. 123. The raw total energy comes out at -2.6679 eV/atom. Its formation energy from the elements is 573 meV per atom. Its size of the total moment is 0.00 μB/f.u. For the density of states at the Fermi level, the calculation gives 3.56 states/eV per cell.

---

# Ce3BiB

Crystalline Ce3BiB at its relaxed geometry (PBE-GGA, Alexandria).

Structure (extended XYZ):
```
5
Lattice="5.091 0.000 0.000 0.000 5.091 0.000 0.000 0.000 5.091" Properties=species:S:1:pos:R:3 pbc="T T T"
B 0.000 0.000 0.000
Ce 0.000 0.000 2.545
Ce 0.000 2.545 0.000
Ce 2.545 0.000 0.000
Bi 2.545 2.545 2.545
```

Computed properties:
As for the space group: Pm-3m, No. 221. The raw total energy comes out at -6.0126 eV/atom. Its formation energy from the elements is -341 meV per atom. Its size of the total moment is 2.26 μB/f.u. For the density of states at the Fermi level, the calculation gives 10.87 states/eV per cell.

---

# Ce2BiBRh6

Crystalline Ce2BiBRh6 at its relaxed geometry (PBE-GGA, Alexandria).

Structure (extended XYZ):
```
10
Lattice="-0.661 -3.939 -2.525 4.672 -0.417 -0.572 0.480 -4.879 7.486" Properties=species:S:1:pos:R:3 pbc="T T T"
Rh -0.330 -1.970 -1.263
Rh -0.090 -4.409 2.480
Rh 2.348 -5.655 3.785
Rh 2.144 -3.581 0.603
Rh 2.576 -2.648 3.457
Rh 2.336 -0.209 -0.286
Ce 0.129 -1.315 2.018
Ce 0.351 -3.564 5.468
B 2.246 -4.618 2.194
Bi 2.006 -2.178 -1.548
```

Computed properties:
As for the space group: P4/mmm, No. 123. The raw total energy comes out at -6.6600 eV/atom. Its formation energy from the elements is -7 meV per atom. Its size of the total moment is 1.57 μB/f.u. For the density of states at the Fermi level, the calculation gives 14.60 states/eV per cell.

---

# Ce4BiB3Rh12

Crystalline Ce4BiB3Rh12 at its relaxed geometry (PBE-GGA, Alexandria).

Structure (extended XYZ):
```
20
Lattice="7.650 0.000 0.000 -2.550 7.212 0.000 -2.550 -3.606 6.246" Properties=species:S:1:pos:R:3 pbc="T T T"
Ce 3.825 0.000 0.000
Ce -1.275 3.606 0.000
Ce 1.275 1.803 3.123
Ce -1.275 -1.803 3.123
B 2.550 -1.803 3.123
B -2.550 1.803 3.123
B 2.550 3.606 0.000
Rh 1.275 -0.902 4.685
Rh 3.825 2.705 1.562
Rh -1.275 0.902 4.685
Rh 1.444 -1.021 1.768
Rh 1.444 2.042 0.000
Rh 3.825 0.000 3.123
Rh 1.275 4.508 1.562
Rh 3.656 5.171 0.000
Rh -1.275 3.606 3.123
Rh -3.656 2.585 4.478
Rh 3.656 -2.585 4.478
Rh -1.444 1.021 1.768
Bi 0.000 0.000 0.000
```

Computed properties:
As for the space group: Im-3m, No. 229. The raw total energy comes out at -7.2769 eV/atom. Its formation energy from the elements is -484 meV per atom. Its size of the total moment is 2.32 μB/f.u. For the density of states at the Fermi level, the calculation gives 20.89 states/eV per cell.

---

# Bi2BCl

Crystalline Bi2BCl at its relaxed geometry (PBE-GGA, Alexandria).

Structure (extended XYZ):
```
8
Lattice="-3.924 -0.700 5.208 2.135 -6.151 0.782 3.172 -1.594 6.304" Properties=species:S:1:pos:R:3 pbc="T T T"
B -0.894 -3.426 2.995
B 2.207 -5.585 5.041
Cl -0.823 -2.860 7.254
Cl 0.000 0.000 0.000
Bi -1.060 -1.546 4.488
Bi 0.633 -6.669 9.903
Bi 1.305 -4.390 3.157
Bi 1.889 -4.285 7.041
```

Computed properties:
As for the uncorrected formation energy: 440 meV/atom. As for the space group: I-42d, No. 122. The energy above the lowest structure with this stoichiometry comes out at 0 meV per atom. The raw total energy comes out at -3.6311 eV/atom. Its size of the total moment is 0.00 μB/f.u. For the density of states at the Fermi level, the calculation gives 2.46 states/eV per cell.

---

# Bi2BCl

Crystalline Bi2BCl at its relaxed geometry (PBE-GGA, Alexandria).

Structure (extended XYZ):
```
4
Lattice="3.297 -3.562 -1.099 -0.676 -4.627 1.702 -1.238 -3.652 -3.145" Properties=species:S:1:pos:R:3 pbc="T T T"
Cl 0.691 -5.921 -1.271
Bi 0.346 -2.960 -0.635
Bi 1.037 -8.881 -1.906
B 0.000 0.000 0.000
```

Computed properties:
As for the uncorrected formation energy: 720 meV/atom. As for the space group: Fm-3m, No. 225. The energy above the lowest structure with this stoichiometry comes out at 280 meV per atom. The raw total energy comes out at -3.3515 eV/atom. Its size of the total moment is 0.00 μB/f.u. For the density of states at the Fermi level, the calculation gives 1.43 states/eV per cell.

---

# BiB2Cl8

Crystalline BiB2Cl8 at its relaxed geometry (PBE-GGA, Alexandria).

Structure (extended XYZ):
```
11
Lattice="-2.822 -0.309 -6.691 -1.239 -7.110 0.109 -6.875 -0.326 2.173" Properties=species:S:1:pos:R:3 pbc="T T T"
Bi 0.000 0.000 0.000
Cl -7.592 -5.913 -1.298
Cl -3.345 -1.832 -3.112
Cl -3.813 -6.885 -0.882
Cl -7.527 -2.415 0.478
Cl -3.256 -2.649 -0.183
Cl -7.681 -5.096 -4.226
Cl -7.123 -0.860 -3.527
Cl -3.409 -5.331 -4.887
B -2.540 -1.651 -1.510
B -8.396 -6.094 -2.900
```

Computed properties:
As for the uncorrected formation energy: -805 meV/atom. As for the space group: C2/m, No. 12. The raw total energy comes out at -3.7147 eV/atom. Its size of the total moment is 1.00 μB/f.u.

---

# Cs2BiBCl6

Crystalline Cs2BiBCl6 at its relaxed geometry (PBE-GGA, Alexandria).

Structure (extended XYZ):
```
10
Lattice="7.556 0.000 0.000 0.000 7.556 0.000 3.778 3.778 5.343" Properties=species:S:1:pos:R:3 pbc="T T T"
Bi 0.000 0.000 0.000
Cl 3.778 3.778 2.604
Cl 5.619 5.619 0.000
Cl 1.937 5.619 0.000
Cl 5.619 1.937 0.000
Cl 7.556 7.556 2.739
Cl 1.937 1.937 0.000
B 3.778 3.778 0.000
Cs 7.556 3.778 2.671
Cs 3.778 7.556 2.671
```

Computed properties:
As for the uncorrected formation energy: -954 meV/atom. As for the space group: Fm-3m, No. 225. The raw total energy comes out at -3.2886 eV/atom. Its size of the total moment is 0.00 μB/f.u. For the density of states at the Fermi level, the calculation gives 0.00 states/eV per cell.

---

# BiB2ClF

Crystalline BiB2ClF at its relaxed geometry (PBE-GGA, Alexandria).

Structure (extended XYZ):
```
5
Lattice="-4.019 0.882 1.052 -0.365 -4.752 2.590 1.343 1.848 3.581" Properties=species:S:1:pos:R:3 pbc="T T T"
B -2.010 0.441 0.526
B 0.672 0.924 1.790
Cl -1.521 -1.011 3.611
Bi -0.183 -2.376 1.295
F 0.000 0.000 0.000
```

Computed properties:
As for the uncorrected formation energy: 1365 meV/atom. As for the space group: P4/mmm, No. 123. The raw total energy comes out at -2.8259 eV/atom. Its size of the total moment is 0.00 μB/f.u. For the density of states at the Fermi level, the calculation gives 7.50 states/eV per cell.

---

# GeBiB2Cl

Crystalline GeBiB2Cl at its relaxed geometry (PBE-GGA, Alexandria).

Structure (extended XYZ):
```
5
Lattice="4.712 0.000 0.000 0.000 5.518 0.000 0.000 0.000 4.712" Properties=species:S:1:pos:R:3 pbc="T T T"
B 0.000 0.000 2.356
B 2.356 0.000 0.000
Ge 2.356 2.759 2.356
Bi 0.000 0.000 0.000
Cl 0.000 2.759 0.000
```

Computed properties:
As for the uncorrected formation energy: 1747 meV/atom. As for the space group: P4/mmm, No. 123. The raw total energy comes out at -2.9926 eV/atom. Its size of the total moment is 0.00 μB/f.u. For the density of states at the Fermi level, the calculation gives 3.54 states/eV per cell.

---

# BiBPCl2

Crystalline BiBPCl2 at its relaxed geometry (PBE-GGA, Alexandria).

Structure (extended XYZ):
```
5
Lattice="-2.077 -0.983 -4.867 0.336 -5.292 0.926 -5.079 0.055 2.156" Properties=species:S:1:pos:R:3 pbc="T T T"
P -2.540 0.027 1.078
B -3.410 -3.110 -0.893
Bi 0.000 0.000 0.000
Cl -1.038 -0.492 -2.434
Cl 0.168 -2.646 0.463
```

Computed properties:
As for the uncorrected formation energy: 1050 meV/atom. As for the space group: P4/mmm, No. 123. The energy above the lowest structure with this stoichiometry comes out at 607 meV per atom. The raw total energy comes out at -2.8821 eV/atom. Its size of the total moment is 0.67 μB/f.u. For the density of states at the Fermi level, the calculation gives 2.35 states/eV per cell.

---

# BiBPCl2

Crystalline BiBPCl2 at its relaxed geometry (PBE-GGA, Alexandria).

Structure (extended XYZ):
```
5
Lattice="4.376 0.000 0.000 0.000 4.376 0.000 0.000 0.000 4.723" Properties=species:S:1:pos:R:3 pbc="T T T"
P 0.000 0.000 2.361
Cl 0.000 2.188 0.000
Cl 2.188 0.000 0.000
B 0.000 0.000 0.000
Bi 2.188 2.188 2.361
```

Computed properties:
As for the uncorrected formation energy: 443 meV/atom. As for the space group: P4/mmm, No. 123. The energy above the lowest structure with this stoichiometry comes out at 0 meV per atom. The raw total energy comes out at -3.4893 eV/atom. Its size of the total moment is 0.00 μB/f.u. For the density of states at the Fermi level, the calculation gives 1.73 states/eV per cell.

---

# Rb2BiBCl6

Crystalline Rb2BiBCl6 at its relaxed geometry (PBE-GGA, Alexandria).

Structure (extended XYZ):
```
10
Lattice="-4.102 6.156 0.997 -5.273 -4.061 3.379 -2.338 1.861 6.833" Properties=species:S:1:pos:R:3 pbc="T T T"
Bi 0.000 0.000 0.000
Cl -4.970 -1.421 2.764
Cl -6.952 1.553 3.245
Cl -8.158 2.516 6.782
Cl -2.423 0.541 1.131
Cl -4.405 3.515 1.613
Cl -3.555 1.440 4.428
Rb -5.564 4.532 5.009
Rb -6.149 -0.577 6.200
B -4.688 1.047 2.188
```

Computed properties:
As for the uncorrected formation energy: -917 meV/atom. As for the space group: I4/mmm, No. 139. The raw total energy comes out at -3.2744 eV/atom. Its size of the total moment is 0.00 μB/f.u. For the density of states at the Fermi level, the calculation gives 0.00 states/eV per cell.

---

# RbBiB2Cl

Crystalline RbBiB2Cl at its relaxed geometry (PBE-GGA, Alexandria).

Structure (extended XYZ):
```
5
Lattice="-3.935 -3.566 0.200 2.484 -2.499 4.315 -2.672 3.137 3.355" Properties=species:S:1:pos:R:3 pbc="T T T"
Bi -2.062 -1.464 3.935
B -1.968 -1.783 0.100
B -1.336 1.569 1.678
Cl 1.242 -1.249 2.157
Rb 0.000 0.000 0.000
```

Computed properties:
As for the uncorrected formation energy: 2081 meV/atom. As for the space group: P4/mmm, No. 123. The raw total energy comes out at -1.9287 eV/atom. Its size of the total moment is 1.06 μB/f.u. For the density of states at the Fermi level, the calculation gives 6.52 states/eV per cell.

---

# BiBSCl2

Crystalline BiBSCl2 at its relaxed geometry (PBE-GGA, Alexandria).

Structure (extended XYZ):
```
5
Lattice="-3.822 -2.789 -2.587 2.028 -4.596 1.959 -3.224 0.416 4.315" Properties=species:S:1:pos:R:3 pbc="T T T"
B -2.509 -3.484 1.843
S -1.612 0.208 2.157
Bi 0.000 0.000 0.000
Cl 1.014 -2.298 0.979
Cl -1.911 -1.394 -1.293
```

Computed properties:
As for the uncorrected formation energy: 699 meV/atom. As for the space group: P4/mmm, No. 123. The energy above the lowest structure with this stoichiometry comes out at 400 meV per atom. The raw total energy comes out at -2.9769 eV/atom. Its size of the total moment is 0.09 μB/f.u. For the density of states at the Fermi level, the calculation gives 1.35 states/eV per cell.

---

# BiBS2Cl

Crystalline BiBS2Cl at its relaxed geometry (PBE-GGA, Alexandria).

Structure (extended XYZ):
```
5
Lattice="4.492 0.000 0.000 0.000 4.492 0.000 0.000 0.000 4.264" Properties=species:S:1:pos:R:3 pbc="T T T"
B 0.000 0.000 0.000
Bi 2.246 2.246 2.132
S 2.246 0.000 0.000
S 0.000 2.246 0.000
Cl 0.000 0.000 2.132
```

Computed properties:
As for the uncorrected formation energy: 300 meV/atom. As for the space group: P4/mmm, No. 123. The energy above the lowest structure with this stoichiometry comes out at 0 meV per atom. The raw total energy comes out at -3.8325 eV/atom. Its size of the total moment is 0.00 μB/f.u. For the density of states at the Fermi level, the calculation gives 0.72 states/eV per cell.

---

# BiBS2Cl

Crystalline BiBS2Cl at its relaxed geometry (PBE-GGA, Alexandria).

Structure (extended XYZ):
```
5
Lattice="-1.773 2.675 -4.147 -4.933 -1.078 1.414 -0.135 4.498 2.959" Properties=species:S:1:pos:R:3 pbc="T T T"
B -3.420 3.048 0.113
Cl -0.067 2.249 1.480
S -0.886 1.338 -2.073
S -2.467 -0.539 0.707
Bi 0.000 0.000 0.000
```

Computed properties:
As for the uncorrected formation energy: 1063 meV/atom. As for the space group: P4/mmm, No. 123. The energy above the lowest structure with this stoichiometry comes out at 763 meV per atom. The raw total energy comes out at -3.0691 eV/atom. Its size of the total moment is 0.00 μB/f.u. For the density of states at the Fermi level, the calculation gives 1.24 states/eV per cell.